Record 1
# CsSb2IrI, optimized geometry, DFT PBE-GGA
# D(E_F) ... 2.672 states/eV per atom
# ρ ... 3.9 g cm⁻³
# Crystal system ... tetragonal
# Raw formation energy ... 2.144 eV/atom
# E above lowest polymorph ... 2167.1 meV per atom
# Total energy ... -1.757 eV per atom
data_CsSb2IrI
_chemical_formula_sum 'Cs1 Sb2 Ir1 I1'
_cell_length_a 6.5859
_cell_length_b 6.5859
_cell_length_c 6.8362
_cell_angle_alpha 90.00
_cell_angle_beta 90.00
_cell_angle_gamma 90.00
_space_group_name_H-M_alt 'P 4/m m m'
_space_group_IT_number 123
_space_group_name_Hall '-P 4 2'
loop_
_atom_site_label
_atom_site_type_symbol
_atom_site_fract_x
_atom_site_fract_y
_atom_site_fract_z
_atom_site_occupancy
Cs1 Cs 0.0000 0.0000 0.0000 1
Sb1 Sb 0.0000 0.5000 0.0000 1
Ir1 Ir 0.5000 0.5000 0.5000 1
I1 I 0.0000 0.0000 0.5000 1

Record 2
# MgMoPd, optimized geometry, DFT PBE-GGA
# D(E_F) ... 0.693 states/eV per atom
# ρ ... 7.7 g cm⁻³
# ΔE_f ... -0.1 eV/f.u.
# Crystal system ... orthorhombic
# E above lowest polymorph ... 171.4 meV per atom
# Total energy ... -5.909 eV per atom
data_MgMoPd
_chemical_formula_sum 'Mg4 Mo4 Pd4'
_cell_length_a 4.4087
_cell_length_b 10.5982
_cell_length_c 4.2116
_cell_angle_alpha 90.00
_cell_angle_beta 90.00
_cell_angle_gamma 90.00
_space_group_name_H-M_alt 'C m c m'
_space_group_IT_number 63
_space_group_name_Hall '-C 2c 2'
loop_
_atom_site_label
_atom_site_type_symbol
_atom_site_fract_x
_atom_site_fract_y
_atom_site_fract_z
_atom_site_occupancy
Mg1 Mg 0.0000 0.2500 0.2500 1
Mo1 Mo 0.0000 0.0643 0.7500 1
Pd1 Pd 0.0000 0.4114 0.7500 1

What did the second record say?
# MgMoPd, optimized geometry, DFT PBE-GGA
# D(E_F) ... 0.693 states/eV per atom
# ρ ... 7.7 g cm⁻³
# ΔE_f ... -0.1 eV/f.u.
# Crystal system ... orthorhombic
# E above lowest polymorph ... 171.4 meV per atom
# Total energy ... -5.909 eV per atom
data_MgMoPd
_chemical_formula_sum 'Mg4 Mo4 Pd4'
_cell_length_a 4.4087
_cell_length_b 10.5982
_cell_length_c 4.2116
_cell_angle_alpha 90.00
_cell_angle_beta 90.00
_cell_angle_gamma 90.00
_space_group_name_H-M_alt 'C m c m'
_space_group_IT_number 63
_space_group_name_Hall '-C 2c 2'
loop_
_atom_site_label
_atom_site_type_symbol
_atom_site_fract_x
_atom_site_fract_y
_atom_site_fract_z
_atom_site_occupancy
Mg1 Mg 0.0000 0.2500 0.2500 1
Mo1 Mo 0.0000 0.0643 0.7500 1
Pd1 Pd 0.0000 0.4114 0.7500 1

Q: Look up the total energy of the first one.
A: -1.757 eV per atom

Q: Which of these has the lowest D(E_F)?
A: MgMoPd

Q: What is the formula in the second record?
A: MgMoPd